#A
Zr3NbRu: optimized geometry, GGA-PBE.

```
data_Zr3NbRu
_chemical_formula_sum 'Zr3 Nb1 Ru1'
_cell_length_a 4.9728
_cell_length_b 4.9728
_cell_length_c 4.9728
_cell_angle_alpha 90.00
_cell_angle_beta 90.00
_cell_angle_gamma 90.00
_symmetry_space_group_name_H-M 'P 1'
_symmetry_Int_Tables_number 1
_symmetry_space_group_name_Hall 'P 1'
loop_
_atom_site_label
_atom_site_fract_x
_atom_site_fract_y
_atom_site_fract_z
Ru1 0.5000 0.5000 0.5000
Nb1 0.0000 0.0000 0.0000
Zr1 0.0000 0.5000 0.0000
Zr2 0.0000 0.0000 0.5000
Zr3 0.5000 0.0000 0.0000
```

Results
V: 123 Å³/f.u.

***

#B
Zr3NbRu: optimized geometry, GGA-PBE.

```
data_Zr3NbRu
_chemical_formula_sum 'Zr3 Nb1 Ru1'
_cell_length_a 4.9504
_cell_length_b 4.9504
_cell_length_c 4.9504
_cell_angle_alpha 90.00
_cell_angle_beta 90.00
_cell_angle_gamma 90.00
_symmetry_space_group_name_H-M 'P 1'
_symmetry_Int_Tables_number 1
_symmetry_space_group_name_Hall 'P 1'
loop_
_atom_site_label
_atom_site_fract_x
_atom_site_fract_y
_atom_site_fract_z
Ru1 0.0000 0.0000 0.0000
Nb1 0.5000 0.5000 0.5000
Zr1 0.0000 0.5000 0.0000
Zr2 0.0000 0.0000 0.5000
Zr3 0.5000 0.0000 0.0000
```

Results
V: 121 Å³/f.u.

***

Most stable structure - #B; separation to the second - 0.654 eV/atom.

***

#A
NbSb3S: optimized geometry, GGA-PBE.

```
data_NbSb3S
_chemical_formula_sum 'Nb1 Sb3 S1'
_cell_length_a 5.2906
_cell_length_b 5.2906
_cell_length_c 5.2906
_cell_angle_alpha 90.00
_cell_angle_beta 90.00
_cell_angle_gamma 90.00
_symmetry_space_group_name_H-M 'P 1'
_symmetry_Int_Tables_number 1
_symmetry_space_group_name_Hall 'P 1'
loop_
_atom_site_label
_atom_site_fract_x
_atom_site_fract_y
_atom_site_fract_z
Sb1 0.0000 0.5000 0.0000
Sb2 0.0000 0.0000 0.5000
Sb3 0.5000 0.0000 0.0000
Nb1 0.0000 0.0000 0.0000
S1 0.5000 0.5000 0.5000
```

Results
V: 148 Å³/f.u.

***

#B
NbSb3S: optimized geometry, GGA-PBE.

```
data_NbSb3S
_chemical_formula_sum 'Nb1 Sb3 S1'
_cell_length_a 5.0943
_cell_length_b 5.0943
_cell_length_c 5.0943
_cell_angle_alpha 90.00
_cell_angle_beta 90.00
_cell_angle_gamma 90.00
_symmetry_space_group_name_H-M 'P 1'
_symmetry_Int_Tables_number 1
_symmetry_space_group_name_Hall 'P 1'
loop_
_atom_site_label
_atom_site_fract_x
_atom_site_fract_y
_atom_site_fract_z
Sb1 0.0000 0.5000 0.0000
Sb2 0.0000 0.0000 0.5000
Sb3 0.5000 0.0000 0.0000
Nb1 0.5000 0.5000 0.5000
S1 0.0000 0.0000 0.0000
```

Results
V: 132 Å³/f.u.

***

Most stable structure - #A; separation to the second - 0.349 eV/atom.